1.
KScHg2Cl8 | PBE-GGA | relaxed

Lattice parameters (Å, degrees): 6.6306 6.6896 8.7415 73.47 83.03 88.10
Element x y z (fractional)
K  0.0000  0.0000  0.5000
Sc  0.0000  0.0000  0.0000
Hg  0.4763  0.4570  0.7449
Hg  0.5237  0.5430  0.2551
Cl  0.1260  0.7487  0.2380
Cl  0.6783  0.7691  0.0093
Cl  0.8165  0.1816  0.1796
Cl  0.8740  0.2513  0.7620
Cl  0.3217  0.2309  0.9907
Cl  0.1835  0.8184  0.8204
Cl  0.5990  0.7340  0.5182
Cl  0.4010  0.2660  0.4818



2.
KScHgCl6 | PBE-GGA | relaxed

Lattice parameters (Å, degrees): 6.8441 6.8441 13.6704 90.00 90.00 120.00
Element x y z (fractional)
K  0.0000  0.0000  0.0000
K  0.0000  0.0000  0.5000
Sc  0.6667  0.3333  0.2500
Sc  0.3333  0.6667  0.7500
Hg  0.3333  0.6667  0.2500
Hg  0.6667  0.3333  0.7500
Cl  0.6379  0.6155  0.1419
Cl  0.9776  0.3621  0.1419
Cl  0.3621  0.9776  0.6419
Cl  0.0224  0.6379  0.8581
Cl  0.3845  0.3621  0.3581
Cl  0.9776  0.6155  0.3581
Cl  0.6155  0.9776  0.8581
Cl  0.6379  0.0224  0.3581
Cl  0.0224  0.3845  0.6419
Cl  0.3845  0.0224  0.1419
Cl  0.6155  0.6379  0.6419
Cl  0.3621  0.3845  0.8581



Total magnetization, record by record: 0.0 0.0 μB per formula unit
DFT total energy, record by record: -3.201 -3.671 eV/atom